DFT (PBE) results for crystalline RbTl8Au4 at its relaxed geometry.

```
RbTl8Au4
1.0
5.809 0.000 0.000
2.904 7.876 0.000
2.904 0.000 7.876
Rb Tl Au
1 8 4
Cartesian
0.000 0.000 0.000 Rb
2.904 2.773 5.103 Tl
2.904 5.103 2.773 Tl
5.809 5.103 5.103 Tl
5.809 2.773 2.773 Tl
5.809 6.161 1.715 Tl
5.809 1.715 6.161 Tl
2.904 1.715 1.715 Tl
8.713 6.161 6.161 Tl
1.452 0.000 3.938 Au
4.357 0.000 3.938 Au
1.452 3.938 0.000 Au
4.357 3.938 0.000 Au
```

Output
Formation energy: -30.2 meV per atom
Total magnetization: 0.00 μB/f.u.
Space group: I4/mmm (139)